(1)
Material: Na8Sr3Mg
Method: DFT, PBE
State: relaxed

CIF file:
```
data_Na8Sr3Mg
_chemical_formula_sum 'Na24 Sr9 Mg3'
_symmetry_space_group_name_H-M 'R 3 m'
_symmetry_Int_Tables_number 160
_symmetry_space_group_name_Hall 'R 3 -2"'
_cell_length_a 6.9634
_cell_length_b 6.9634
_cell_length_c 33.7646
_cell_angle_alpha 90.00
_cell_angle_beta 90.00
_cell_angle_gamma 120.00
loop_
_atom_site_label
_atom_site_type_symbol
_atom_site_fract_x
_atom_site_fract_y
_atom_site_fract_z
_atom_site_occupancy
Na1 Na 0.0000 0.0000 0.0000 1
Na2 Na 0.0000 0.0000 0.4985 1
Na3 Na 0.1673 0.3345 0.0851 1
Na4 Na 0.1679 0.3358 0.5799 1
Sr1 Sr 0.0000 0.0000 0.1830 1
Sr2 Sr 0.0000 0.0000 0.3117 1
Sr3 Sr 0.0000 0.0000 0.6937 1
Mg1 Mg 0.0000 0.0000 0.8120 1
```

total magnetization: 0.00 μB per cell
ΔE_f: 4.8 kJ per mole of atoms
E: -1.3832 eV/atom
density: 1.66 g/cm³

(2)
Material: Ni3PdN
Method: DFT, PBE
State: relaxed

CIF file:
```
data_Ni3PdN
_chemical_formula_sum 'Ni6 Pd2 N2'
_symmetry_space_group_name_H-M 'P 1 21/m 1'
_symmetry_Int_Tables_number 11
_symmetry_space_group_name_Hall '-P 2yb'
_cell_length_a 3.650
_cell_length_b 5.489
_cell_length_c 6.579
_cell_angle_alpha 90.00
_cell_angle_beta 106.20
_cell_angle_gamma 90.00
loop_
_atom_site_label
_atom_site_type_symbol
_atom_site_fract_x
_atom_site_fract_y
_atom_site_fract_z
_atom_site_occupancy
Ni1 Ni 0.078 0.250 0.159 1
Ni2 Ni 0.310 0.522 0.620 1
Pd1 Pd 0.119 0.750 0.238 1
N1 N 0.411 0.750 0.820 1
```

formation energy from raw total energies: 0.28 eV/atom
total magnetization: 0.00 μB per cell
E: -5.8915 eV/atom
density: 7.78 g/cm³

(3)
Material: MnAgSnAu
Method: DFT, PBE
State: relaxed

CIF file:
```
data_MnAgSnAu
_chemical_formula_sum 'Mn4 Ag4 Sn4 Au4'
_symmetry_space_group_name_H-M 'F -4 3 m'
_symmetry_Int_Tables_number 216
_symmetry_space_group_name_Hall 'F -4 2 3'
_cell_length_a 6.697
_cell_length_b 6.697
_cell_length_c 6.697
_cell_angle_alpha 90.00
_cell_angle_beta 90.00
_cell_angle_gamma 90.00
loop_
_atom_site_label
_atom_site_type_symbol
_atom_site_fract_x
_atom_site_fract_y
_atom_site_fract_z
_atom_site_occupancy
Mn1 Mn 0.000 0.000 0.000 1
Ag1 Ag 0.250 0.250 0.750 1
Sn1 Sn 0.000 0.000 0.500 1
Au1 Au 0.250 0.250 0.250 1
```

total magnetization: 16.58 μB per cell
ΔE_f: 6.8 kJ per mole of atoms
E: -4.7549 eV/atom
density: 10.58 g/cm³

(4)
Material: K2YPd
Method: DFT, PBE
State: relaxed

CIF file:
```
data_K2YPd
_chemical_formula_sum 'K8 Y4 Pd4'
_symmetry_space_group_name_H-M 'I -4 2 d'
_symmetry_Int_Tables_number 122
_symmetry_space_group_name_Hall 'I -4 2bw'
_cell_length_a 11.868
_cell_length_b 11.868
_cell_length_c 5.324
_cell_angle_alpha 90.00
_cell_angle_beta 90.00
_cell_angle_gamma 90.00
loop_
_atom_site_label
_atom_site_type_symbol
_atom_site_fract_x
_atom_site_fract_y
_atom_site_fract_z
_atom_site_occupancy
K1 K 0.122 0.750 0.125 1
Y1 Y 0.000 0.000 0.500 1
Pd1 Pd 0.000 0.000 0.000 1
```

total magnetization: 0.00 μB per cell
ΔE_f: 29.4 kJ per mole of atoms
E: -3.1579 eV/atom
density: 2.42 g/cm³

(5)
Material: Rb2BaZn2
Method: DFT, PBE
State: relaxed

CIF file:
```
data_Rb2BaZn2
_chemical_formula_sum 'Rb4 Ba2 Zn4'
_symmetry_space_group_name_H-M 'P 4/m b m'
_symmetry_Int_Tables_number 127
_symmetry_space_group_name_Hall '-P 4 2ab'
_cell_length_a 8.651
_cell_length_b 8.651
_cell_length_c 6.089
_cell_angle_alpha 90.00
_cell_angle_beta 90.00
_cell_angle_gamma 90.00
loop_
_atom_site_label
_atom_site_type_symbol
_atom_site_fract_x
_atom_site_fract_y
_atom_site_fract_z
_atom_site_occupancy
Rb1 Rb 0.170 0.330 0.000 1
Ba1 Ba 0.000 0.000 0.500 1
Zn1 Zn 0.106 0.606 0.500 1
```

total magnetization: 0.00 μB per cell
ΔE_f: 9.4 kJ per mole of atoms
E: -1.1842 eV/atom
density: 3.20 g/cm³

(6)
Material: RbAgW3
Method: DFT, PBE
State: relaxed

CIF file:
```
data_RbAgW3
_chemical_formula_sum 'Rb1 Ag1 W3'
_symmetry_space_group_name_H-M 'P m -3 m'
_symmetry_Int_Tables_number 221
_symmetry_space_group_name_Hall '-P 4 2 3'
_cell_length_a 4.694
_cell_length_b 4.694
_cell_length_c 4.694
_cell_angle_alpha 90.00
_cell_angle_beta 90.00
_cell_angle_gamma 90.00
loop_
_atom_site_label
_atom_site_type_symbol
_atom_site_fract_x
_atom_site_fract_y
_atom_site_fract_z
_atom_site_occupancy
Rb1 Rb 0.000 0.000 0.000 1
Ag1 Ag 0.500 0.500 0.500 1
W1 W 0.000 0.000 0.500 1
```

total magnetization: 0.00 μB per cell
ΔE_f: 375.9 kJ per mole of atoms
E: -4.6396 eV/atom
density: 11.96 g/cm³

(7)
Material: TaBe2Re
Method: DFT, PBE
State: relaxed

CIF file:
```
data_TaBe2Re
_chemical_formula_sum 'Ta3 Be6 Re3'
_symmetry_space_group_name_H-M 'R -3 m'
_symmetry_Int_Tables_number 166
_symmetry_space_group_name_Hall '-R 3 2"'
_cell_length_a 2.7295
_cell_length_b 2.7295
_cell_length_c 25.2960
_cell_angle_alpha 90.00
_cell_angle_beta 90.00
_cell_angle_gamma 120.00
loop_
_atom_site_label
_atom_site_type_symbol
_atom_site_fract_x
_atom_site_fract_y
_atom_site_fract_z
_atom_site_occupancy
Ta1 Ta 0.0000 0.0000 0.0000 1
Be1 Be 0.0000 0.0000 0.2442 1
Re1 Re 0.0000 0.0000 0.5000 1
```

total magnetization: 0.00 μB per cell
ΔE_f: 30.6 kJ per mole of atoms
E: -7.6214 eV/atom
density: 11.76 g/cm³

(8)
Material: NaTeIN2
Method: DFT, PBE
State: relaxed

CIF file:
```
data_NaTeIN2
_chemical_formula_sum 'Na1 Te1 I1 N2'
_symmetry_space_group_name_H-M 'P 4/m m m'
_symmetry_Int_Tables_number 123
_symmetry_space_group_name_Hall '-P 4 2'
_cell_length_a 4.315
_cell_length_b 4.315
_cell_length_c 6.031
_cell_angle_alpha 90.00
_cell_angle_beta 90.00
_cell_angle_gamma 90.00
loop_
_atom_site_label
_atom_site_type_symbol
_atom_site_fract_x
_atom_site_fract_y
_atom_site_fract_z
_atom_site_occupancy
Na1 Na 0.000 0.000 0.000 1
Te1 Te 0.500 0.500 0.000 1
I1 I 0.500 0.500 0.500 1
N1 N 0.000 0.500 0.500 1
```

formation energy from raw total energies: 1.49 eV/atom
total magnetization: 2.01 μB per cell
E: -3.0458 eV/atom
density: 4.52 g/cm³

(9)
Material: Re2Hg
Method: DFT, PBE
State: relaxed

CIF file:
```
data_Re2Hg
_chemical_formula_sum 'Re4 Hg2'
_symmetry_space_group_name_H-M 'P 63/m m c'
_symmetry_Int_Tables_number 194
_symmetry_space_group_name_Hall '-P 6c 2c'
_cell_length_a 4.5455
_cell_length_b 4.5455
_cell_length_c 5.8998
_cell_angle_alpha 90.00
_cell_angle_beta 90.00
_cell_angle_gamma 120.00
loop_
_atom_site_label
_atom_site_type_symbol
_atom_site_fract_x
_atom_site_fract_y
_atom_site_fract_z
_atom_site_occupancy
Re1 Re 0.3333 0.6667 0.0421 1
Hg1 Hg 0.0000 0.0000 0.2500 1
```

total magnetization: 0.00 μB per cell
ΔE_f: 73.5 kJ per mole of atoms
E: -7.6380 eV/atom
density: 18.03 g/cm³

(10)
Material: MnPdPt6
Method: DFT, PBE
State: relaxed

CIF file:
```
data_MnPdPt6
_chemical_formula_sum 'Mn3 Pd3 Pt18'
_symmetry_space_group_name_H-M 'R -3 m'
_symmetry_Int_Tables_number 166
_symmetry_space_group_name_Hall '-R 3 2"'
_cell_length_a 7.1792
_cell_length_b 7.1792
_cell_length_c 9.6576
_cell_angle_alpha 90.00
_cell_angle_beta 90.00
_cell_angle_gamma 120.00
loop_
_atom_site_label
_atom_site_type_symbol
_atom_site_fract_x
_atom_site_fract_y
_atom_site_fract_z
_atom_site_occupancy
Mn1 Mn 0.0000 0.0000 0.0000 1
Pd1 Pd 0.0000 0.0000 0.5000 1
Pt1 Pt 0.0854 0.5427 0.8741 1
```

total magnetization: 11.31 μB per cell
ΔE_f: 27.5 kJ per mole of atoms
E: -6.0411 eV/atom
density: 15.39 g/cm³

(11)
Material: Sr2BeSn2
Method: DFT, PBE
State: relaxed

CIF file:
```
data_Sr2BeSn2
_chemical_formula_sum 'Sr4 Be2 Sn4'
_symmetry_space_group_name_H-M 'P 4/m b m'
_symmetry_Int_Tables_number 127
_symmetry_space_group_name_Hall '-P 4 2ab'
_cell_length_a 7.421
_cell_length_b 7.421
_cell_length_c 5.251
_cell_angle_alpha 90.00
_cell_angle_beta 90.00
_cell_angle_gamma 90.00
loop_
_atom_site_label
_atom_site_type_symbol
_atom_site_fract_x
_atom_site_fract_y
_atom_site_fract_z
_atom_site_occupancy
Sr1 Sr 0.167 0.333 0.000 1
Be1 Be 0.000 0.000 0.500 1
Sn1 Sn 0.146 0.646 0.500 1
```

total magnetization: 0.00 μB per cell
ΔE_f: -17.9 kJ per mole of atoms
E: -3.2050 eV/atom
density: 4.84 g/cm³